## A
First-principles (GGA-PBE) data for a geometry-optimized TbPa2S6 structure, as listed in Alexandria.

Summary:
Its crystal system is monoclinic.

Lattice parameters (Å, degrees): 7.4955 8.2672 8.2672 68.30 78.03 78.03
With the nearest neighbours (Å) after each atom.
Sites, in units of the cell vectors:
S1 0.6783 0.6169 0.6301  2 Pa 2.67, 1 Tb 2.71
S2 0.4535 0.9803 0.2792  2 Pa 2.68-2.79, 1 Tb 2.73
S3 0.3217 0.3831 0.3699  2 Pa 2.67, 1 Tb 2.71
S4 0.8217 0.3699 0.3831  2 Pa 2.67, 1 Tb 2.71
S5 0.8940 0.9641 0.3563  3 Pa 2.77-2.89, 1 Tb 2.77
S6 0.0465 0.7208 0.0197  2 Pa 2.68-2.79, 1 Tb 2.73
Pa1 0.8624 0.7960 0.7340  7 S 2.67-2.89
S7 0.1060 0.0359 0.6437  3 Pa 2.77-2.89, 1 Tb 2.77
S8 0.1783 0.6301 0.6169  2 Pa 2.67, 1 Tb 2.71
S9 0.5465 0.0197 0.7208  2 Pa 2.68-2.79, 1 Tb 2.73
S10 0.9535 0.2792 0.9803  2 Pa 2.68-2.79, 1 Tb 2.73
S11 0.3940 0.3563 0.9641  3 Pa 2.77-2.89, 1 Tb 2.77
Pa2 0.1376 0.2040 0.2660  7 S 2.67-2.89
Tb1 0.2500 0.2740 0.7260  6 S 2.71-2.77
Tb2 0.7500 0.7260 0.2740  6 S 2.71-2.77
Pa3 0.3624 0.7340 0.7960  7 S 2.67-2.89
Pa4 0.6376 0.2660 0.2040  7 S 2.67-2.89
S12 0.6060 0.6437 0.0359  3 Pa 2.77-2.89, 1 Tb 2.77

=====

## B
First-principles (GGA-PBE) data for a geometry-optimized TbPa2S6 structure, as listed in Alexandria.

Summary:
Its crystal system is monoclinic.

Lattice parameters (Å, degrees): 5.1459 7.2519 7.7507 71.90 70.61 69.22
With the nearest neighbours (Å) after each atom.
Sites, in units of the cell vectors:
S1 0.0344 0.1482 0.7830  2 Pa 2.67-2.68, 1 Tb 2.79
S2 0.9656 0.8518 0.2170  2 Pa 2.67-2.68, 1 Tb 2.79
Pa1 0.8151 0.2561 0.1136  6 S 2.52-2.80
S3 0.7455 0.6381 0.8710  3 Pa 2.68-2.80
Pa2 0.1849 0.7439 0.8864  6 S 2.52-2.80
Tb1 0.0000 0.5000 0.5000  8 S 2.79-3.06
S4 0.3715 0.7060 0.5510  1 Pa 2.52
S5 0.2545 0.3619 0.1290  3 Pa 2.68-2.80
S6 0.6285 0.2940 0.4490  1 Pa 2.52

=====

The least stable of them is B.

=====

## A
First-principles (GGA-PBE) data for a geometry-optimized Pa2TcS structure, as listed in Alexandria.

Summary:
Its crystal system is trigonal.

Lattice parameters (Å, degrees): 3.8640 3.8640 7.2416 74.53 74.53 60.00
With the nearest neighbours (Å) after each atom.
Sites, in units of the cell vectors:
Pa1 0.7456 0.7456 0.7631  3 Tc 2.76, 3 S 2.87
Pa2 0.2544 0.2544 0.2369  3 Tc 2.76, 3 S 2.87
S1 0.5000 0.5000 0.5000  6 Pa 2.87
Tc1 0.0000 0.0000 0.0000  6 Pa 2.76

=====

## B
First-principles (GGA-PBE) data for a geometry-optimized Pa2TcS structure, as listed in Alexandria.

Summary:
Its crystal system is tetragonal.

Lattice parameters (Å, degrees): 3.2389 3.2389 7.5484 90.00 90.00 90.00
With the nearest neighbours (Å) after each atom.
Sites, in units of the cell vectors:
Pa1 0.0000 0.0000 0.7530  4 Tc 2.95, 4 S 2.98, 4 Pa 3.24
Pa2 0.0000 0.0000 0.2470  4 Tc 2.95, 4 S 2.98, 4 Pa 3.24
Tc1 0.5000 0.5000 0.0000  8 Pa 2.95, 4 Tc 3.24
S1 0.5000 0.5000 0.5000  8 Pa 2.98, 4 S 3.24

=====

The least stable of them is B.

=====

## A
First-principles (GGA-PBE) data for a geometry-optimized Pa2TeS structure, as listed in Alexandria.

Summary:
Its crystal system is trigonal.

Lattice parameters (Å, degrees): 3.9229 3.9229 7.7882 75.41 75.41 60.00
With the nearest neighbours (Å) after each atom.
Sites, in units of the cell vectors:
Pa1 0.2657 0.2657 0.2030  3 S 2.73
S1 0.6676 0.6676 0.9973  6 Pa 2.72-2.73
Pa2 0.0682 0.0682 0.7953  3 S 2.72
Te1 0.4985 0.4985 0.5044  6 Pa 3.14-3.19

=====

## B
First-principles (GGA-PBE) data for a geometry-optimized Pa2TeS structure, as listed in Alexandria.

Summary:
Its crystal system is trigonal.

Lattice parameters (Å, degrees): 4.0415 4.0415 7.3640 74.07 74.07 60.00
With the nearest neighbours (Å) after each atom.
Sites, in units of the cell vectors:
Pa1 0.2667 0.2667 0.1998  3 S 2.72
Pa2 0.7333 0.7333 0.8002  3 S 2.72
S1 0.0000 0.0000 0.0000  6 Pa 2.72
Te1 0.5000 0.5000 0.5000  6 Pa 3.14

=====

## C
First-principles (GGA-PBE) data for a geometry-optimized Pa2TeS structure, as listed in Alexandria.

Summary:
Its crystal system is cubic.

Lattice parameters (Å, degrees): 5.0894 5.0894 5.0894 60.00 60.00 60.00
With the nearest neighbours (Å) after each atom.
Sites, in units of the cell vectors:
Te1 0.5000 0.5000 0.5000  8 Pa 3.12
S1 0.0000 0.0000 0.0000  8 Pa 3.12
Pa1 0.2500 0.2500 0.2500  4 Te 3.12, 4 S 3.12
Pa2 0.7500 0.7500 0.7500  4 S 3.12, 4 Te 3.12

=====

The least stable of them is C.